w | DFT (GGA-PBE) results for a geometry-optimized IrRh2Au structure.

Its symmetry is I-4m2. For the total moment, the calculation gives 0.00 μB per formula unit.

Cell: 3.9270 3.9270 7.8543 Å, 90.00 90.00 90.00°
Positions (direct):
Ir  0.0000  0.0000  0.0000
Ir  0.5000  0.5000  0.5000
Rh  0.0000  0.0000  0.5000
Rh  0.0000  0.5000  0.7500
Rh  0.5000  0.0000  0.2500
Rh  0.5000  0.5000  0.0000
Au  0.0000  0.5000  0.2500
Au  0.5000  0.0000  0.7500


x | DFT (GGA-PBE) results for a geometry-optimized IrRh2Au structure.

Its symmetry is Pmmm. For the total moment, the calculation gives 0.00 μB per formula unit.

Cell: 2.7538 4.7315 4.7362 Å, 90.00 90.00 90.00°
Positions (direct):
Ir  0.0000  0.0000  0.0000
Rh  0.0000  0.5000  0.5000
Rh  0.5000  0.5000  0.0000
Au  0.5000  0.0000  0.5000


Looking at the structures above, w is most stable, and the difference to the next one is 14.5 kJ/mol of atoms.